Entry 1:
Computed, not measured: crystalline K3Sc2BiSe6 at its relaxed geometry at the PBE level of DFT.

Calculated values
The calculation puts the density of states at the Fermi level at 0.00 states/eV/f.u. Its raw formation energy is -1344.8 meV/atom. Its total magnetization is 0.0 μB/cell. Its space-group type is No. 12.

Cell lengths 7.1514, 7.1514, 7.9973 Å; angles 98.60, 98.60, 120.01 degrees
With the nearest neighbours (Å) after each atom.
Element x y z (fractional)
K1 0.0000 0.0000 0.0000  6 Se 3.22-3.36
K2 0.3383 0.6617 0.0000  6 Se 3.24-3.36
K3 0.6617 0.3383 0.0000  6 Se 3.24-3.36
Sc1 0.1673 0.8327 0.5000  6 Se 2.77
Sc2 0.8327 0.1673 0.5000  6 Se 2.77
Bi1 0.5000 0.5000 0.5000  6 Se 2.94-2.95
Se1 0.0805 0.4332 0.3001  2 Sc 2.77, 1 Bi 2.95
Se2 0.2135 0.2135 0.6986  2 Sc 2.77, 1 Bi 2.94
Se3 0.4332 0.0805 0.3001  2 Sc 2.77, 1 Bi 2.95
Se4 0.5668 0.9195 0.6999  2 Sc 2.77, 1 Bi 2.95
Se5 0.7865 0.7865 0.3014  2 Sc 2.77, 1 Bi 2.94
Se6 0.9195 0.5668 0.6999  2 Sc 2.77, 1 Bi 2.95

Entry 2:
Computed, not measured: crystalline K2Sc2Bi2Se at its relaxed geometry at the PBE level of DFT.

Calculated values
The calculation puts the density of states at the Fermi level at 1.53 states/eV/f.u. Its raw formation energy is -855.1 meV/atom. Its total magnetization is 0.0 μB/cell. Its space-group type is No. 139.

Cell lengths 5.1152, 5.1152, 18.0583 Å; angles 90.00, 90.00, 90.00 degrees
With the nearest neighbours (Å) after each atom.
Element x y z (fractional)
K1 0.0000 0.0000 0.1814  1 Se 3.28
K2 0.0000 0.0000 0.8186  1 Se 3.28
K3 0.5000 0.5000 0.3186  1 Se 3.28
K4 0.5000 0.5000 0.6814  1 Se 3.28
Sc1 0.0000 0.5000 0.0000  2 Se 2.56
Sc2 0.0000 0.5000 0.5000  2 Se 2.56
Sc3 0.5000 0.0000 0.0000  2 Se 2.56
Sc4 0.5000 0.0000 0.5000  2 Se 2.56
Bi1 0.0000 0.0000 0.3906  4 Sc 3.23
Bi2 0.0000 0.0000 0.6094  4 Sc 3.23
Bi3 0.5000 0.5000 0.1094  4 Sc 3.23
Bi4 0.5000 0.5000 0.8906  4 Sc 3.23
Se1 0.0000 0.0000 0.0000  4 Sc 2.56
Se2 0.5000 0.5000 0.5000  4 Sc 2.56

Entry 3:
Computed, not measured: crystalline K3ScBi2Se6 at its relaxed geometry at the PBE level of DFT.

Calculated values
The calculation puts the density of states at the Fermi level at 0.00 states/eV/f.u. Its raw formation energy is -1074.2 meV/atom. Its total magnetization is 0.0 μB/cell. Its space-group type is No. 12.

Cell lengths 7.3301, 7.3301, 8.0545 Å; angles 98.75, 98.75, 120.01 degrees
With the nearest neighbours (Å) after each atom.
Element x y z (fractional)
K1 0.0000 0.0000 0.0000  6 Se 3.28-3.44
K2 0.3274 0.6726 0.0000  6 Se 3.29-3.39
K3 0.6726 0.3274 0.0000  6 Se 3.29-3.39
Sc1 0.5000 0.5000 0.5000  6 Se 2.78-2.79
Bi1 0.1659 0.8341 0.5000  6 Se 2.97
Bi2 0.8341 0.1659 0.5000  6 Se 2.97
Se1 0.1183 0.4319 0.2955  1 Sc 2.78, 2 Bi 2.97
Se2 0.2555 0.2555 0.7060  1 Sc 2.79, 2 Bi 2.97
Se3 0.4319 0.1183 0.2955  1 Sc 2.78, 2 Bi 2.97
Se4 0.5681 0.8817 0.7045  1 Sc 2.78, 2 Bi 2.97
Se5 0.7445 0.7445 0.2940  1 Sc 2.79, 2 Bi 2.97
Se6 0.8817 0.5681 0.7045  1 Sc 2.78, 2 Bi 2.97

Entry 4:
Computed, not measured: crystalline K2Sc2Bi2Te at its relaxed geometry at the PBE level of DFT.

Calculated values
The calculation puts the density of states at the Fermi level at 2.21 states/eV/f.u. Its raw formation energy is -605.5 meV/atom. Its total magnetization is 0.0 μB/cell. Its space-group type is No. 139.

Cell lengths 5.3798, 5.3798, 18.0828 Å; angles 90.00, 90.00, 90.00 degrees
With the nearest neighbours (Å) after each atom.
Element x y z (fractional)
K1 0.0000 0.0000 0.1875  1 Te 3.39, 1 Bi 3.73
K2 0.0000 0.0000 0.8125  1 Te 3.39, 1 Bi 3.73
K3 0.5000 0.5000 0.3125  1 Te 3.39, 1 Bi 3.73
K4 0.5000 0.5000 0.6875  1 Te 3.39, 1 Bi 3.73
Sc1 0.0000 0.5000 0.0000  2 Te 2.69
Sc2 0.0000 0.5000 0.5000  2 Te 2.69
Sc3 0.5000 0.0000 0.0000  2 Te 2.69
Sc4 0.5000 0.0000 0.5000  2 Te 2.69
Bi1 0.0000 0.0000 0.3939  4 Sc 3.30
Bi2 0.0000 0.0000 0.6061  4 Sc 3.30
Bi3 0.5000 0.5000 0.1061  4 Sc 3.30
Bi4 0.5000 0.5000 0.8939  4 Sc 3.30
Te1 0.0000 0.0000 0.0000  4 Sc 2.69
Te2 0.5000 0.5000 0.5000  4 Sc 2.69

Entry 5:
Computed, not measured: crystalline K2Sc2BiTe6 at its relaxed geometry at the PBE level of DFT.

Calculated values
The calculation puts the density of states at the Fermi level at 5.04 states/eV/f.u. Its raw formation energy is -927.3 meV/atom. Its total magnetization is 0.0 μB/cell. Its space-group type is No. 12.

Cell lengths 7.3992, 7.3992, 8.9016 Å; angles 97.45, 97.45, 120.53 degrees
With the nearest neighbours (Å) after each atom.
Element x y z (fractional)
K1 0.1597 0.8403 0.0000  6 Te 3.53-3.60
K2 0.8403 0.1597 0.0000  6 Te 3.53-3.60
Sc1 0.3325 0.6675 0.5000  6 Te 2.93-2.95
Sc2 0.6675 0.3325 0.5000  6 Te 2.93-2.95
Bi1 0.0000 0.0000 0.5000  6 Te 3.13-3.15
Te1 0.0650 0.4177 0.7014  2 Sc 2.93-2.95, 1 Bi 3.13
Te2 0.2948 0.2948 0.2980  2 Sc 2.95, 1 Bi 3.15
Te3 0.4177 0.0650 0.7014  2 Sc 2.93-2.95, 1 Bi 3.13
Te4 0.5823 0.9350 0.2986  2 Sc 2.93-2.95, 1 Bi 3.13
Te5 0.7052 0.7052 0.7020  2 Sc 2.95, 1 Bi 3.15
Te6 0.9350 0.5823 0.2986  2 Sc 2.93-2.95, 1 Bi 3.13

Entry 6:
Computed, not measured: crystalline KScTi2Bi at its relaxed geometry at the PBE level of DFT.

Calculated values
The calculation puts the density of states at the Fermi level at 7.95 states/eV/f.u. Its uncorrected energy is -4.3466 eV per atom. Its total magnetization is 5.8 μB/cell. Its space-group type is No. 123.

Cell lengths 5.3607, 5.3607, 6.0634 Å; angles 90.00, 90.00, 90.00 degrees
With the nearest neighbours (Å) after each atom.
Element x y z (fractional)
K1 0.0000 0.0000 0.0000  2 Bi 3.03
Sc1 0.5000 0.5000 0.0000  4 K 3.79, 8 Ti 4.05
Ti1 0.0000 0.5000 0.5000  2 Bi 2.68
Ti2 0.5000 0.0000 0.5000  2 Bi 2.68
Bi1 0.0000 0.0000 0.5000  4 Ti 2.68